Record 1
TlCdSe2: relaxed, GGA-PBEsol.

Cell lengths 4.108, 4.108, 5.600 Å; angles 90.00, 90.00, 90.00 degrees
Fractional positions:
Cd1 0.000 0.000 0.500
Se1 0.000 0.500 0.000
Se2 0.500 0.000 0.000
Tl1 0.500 0.500 0.500

As for the symmetry: P4/mmm (123). The calculation puts the formation energy from raw total energies at 2.34 kcal/mol of atoms. Its raw total energy is -11.12 eV/cell. The density of states at the Fermi level comes out at 0.46 states/eV per atom.

Record 2
Tl2CdSe: relaxed, GGA-PBEsol.

Cell lengths 3.782, 5.294, 6.147 Å; angles 115.65, 107.92, 90.00 degrees
Fractional positions:
Cd1 0.535 0.538 0.070
Se1 0.230 0.726 0.461
Tl1 0.973 0.975 0.946
Tl2 0.762 0.261 0.523

As for the symmetry: Cm (8). Its offset from the most stable computed form is 0 meV per atom. The calculation puts the formation energy from raw total energies at -3.10 kcal/mol of atoms. Its raw total energy is -10.85 eV/cell. The density of states at the Fermi level comes out at 0.33 states/eV per atom.

Record 3
TlCdSe2: relaxed, GGA-PBEsol.

Cell lengths 4.983, 5.088, 4.983 Å; angles 60.68, 90.00, 119.32 degrees
Fractional positions:
Cd1 0.000 0.000 0.000
Se1 0.250 0.500 0.250
Se2 0.750 0.500 0.750
Tl1 0.500 0.000 0.500

As for the symmetry: I4/mmm (139). The calculation puts the formation energy from raw total energies at -1.03 kcal/mol of atoms. Its raw total energy is -11.71 eV/cell. The density of states at the Fermi level comes out at 0.85 states/eV per atom.

Record 4
TlCdSe2: relaxed, GGA-PBEsol.

Cell lengths 4.014, 4.014, 7.036 Å; angles 90.00, 90.00, 120.00 degrees
Fractional positions:
Tl1 0.000 0.000 0.500
Cd1 0.000 0.000 0.000
Se1 0.333 0.667 0.224
Se2 0.667 0.333 0.776

As for the symmetry: P-3m1 (164). The calculation puts the formation energy from raw total energies at -7.66 kcal/mol of atoms. Its raw total energy is -12.86 eV/cell. The density of states at the Fermi level comes out at 0.35 states/eV per atom.

Record 5
TlCdSe2: relaxed, GGA-PBEsol.

Cell lengths 6.312, 6.312, 7.764 Å; angles 113.98, 113.98, 90.00 degrees
Fractional positions:
Tl1 0.250 0.750 0.500
Tl2 0.000 0.000 0.000
Se1 0.399 0.875 0.250
Se2 0.851 0.375 0.250
Se3 0.125 0.149 0.750
Se4 0.625 0.601 0.750
Cd1 0.750 0.250 0.500
Cd2 0.500 0.500 0.000

As for the symmetry: I-42d (122). The calculation puts the formation energy from raw total energies at -7.01 kcal/mol of atoms. Its raw total energy is -25.49 eV/cell. The density of states at the Fermi level comes out at 0.47 states/eV per atom.

Record 6
Cd3WSe: relaxed, GGA-PBEsol.

Cell lengths 5.242, 5.242, 5.242 Å; angles 90.00, 90.00, 90.00 degrees
Fractional positions:
Se1 0.500 0.500 0.500
W1 0.000 0.000 0.000
Cd1 0.000 0.500 0.000
Cd2 0.000 0.000 0.500
Cd3 0.500 0.000 0.000

As for the symmetry: Pm-3m (221). The calculation puts the formation energy from raw total energies at 33.69 kcal/mol of atoms. Its raw total energy is -13.94 eV/cell. The density of states at the Fermi level comes out at 1.40 states/eV per atom.